1.
{
  "formula": "CuSI4",
  "functional": "PBEsol",
  "state": "optimized geometry",
  "spacegroup": "Cm",
  "raw_formation_energy_mev_per_atom": 21,
  "total_magnetization_mub_per_fu": 0.0,
  "volume_a3_per_atom": 33.9,
  "lattice": [[12.6721, -1.8979, 0.0000], [12.6721, 1.8979, 0.0000], [-0.4398, 0.0000, 4.2235]],
  "species": ["Cu", "S", "I", "I", "I", "I"],
  "frac_coords": [[0.0000, 0.0000, 0.0000], [0.5435, 0.5435, 0.9801], [0.6234, 0.6234, 0.3507], [0.7251, 0.7251, 0.8877], [0.8261, 0.8261, 0.6625], [0.9404, 0.9404, 0.4651]]
}

***

2.
{
  "formula": "TlTc3Bi",
  "functional": "PBEsol",
  "state": "optimized geometry",
  "e_form_ev_per_fu": 11.580,
  "spacegroup": "Pm-3m",
  "total_magnetization_mub_per_fu": 3.4,
  "volume_a3_per_atom": 24.1,
  "lattice": [[4.9378, 0.0000, 0.0000], [0.0000, 4.9378, 0.0000], [0.0000, 0.0000, 4.9378]],
  "species": ["Tl", "Tc", "Tc", "Tc", "Bi"],
  "frac_coords": [[0.0000, 0.0000, 0.0000], [0.0000, 0.5000, 0.5000], [0.5000, 0.0000, 0.5000], [0.5000, 0.5000, 0.0000], [0.5000, 0.5000, 0.5000]]
}

***

3.
{
  "formula": "CaLaPb2",
  "functional": "PBEsol",
  "state": "optimized geometry",
  "e_form_ev_per_fu": -2.045,
  "spacegroup": "I-4m2",
  "total_magnetization_mub_per_fu": 0.0,
  "volume_a3_per_atom": 29.9,
  "lattice": [[-2.3246, 2.3246, 5.5306], [2.3246, -2.3246, 5.5306], [2.3246, 2.3246, -5.5306]],
  "species": ["Ca", "La", "Pb", "Pb"],
  "frac_coords": [[0.0000, 0.0000, 0.0000], [0.7500, 0.2500, 0.5000], [0.2500, 0.7500, 0.5000], [0.5000, 0.5000, 0.0000]]
}

***

4.
{
  "formula": "Zr2AlW",
  "functional": "PBEsol",
  "state": "optimized geometry",
  "e_form_ev_per_fu": -0.796,
  "spacegroup": "P4/mmm",
  "total_magnetization_mub_per_fu": 0.0,
  "volume_a3_per_atom": 18.6,
  "lattice": [[3.4124, 0.0000, 0.0000], [0.0000, 3.4124, 0.0000], [0.0000, 0.0000, 6.3837]],
  "species": ["Zr", "Zr", "Al", "W"],
  "frac_coords": [[0.0000, 0.0000, 0.2406], [0.0000, 0.0000, 0.7594], [0.5000, 0.5000, 0.5000], [0.5000, 0.5000, 0.0000]]
}

***

5.
{
  "formula": "Ca2OsPt",
  "functional": "PBEsol",
  "state": "optimized geometry",
  "polymorph_energy_mev_per_atom": 164,
  "e_form_ev_per_fu": 0.787,
  "spacegroup": "Fm-3m",
  "total_magnetization_mub_per_fu": 0.0,
  "volume_a3_per_atom": 19.4,
  "lattice": [[0.0000, 3.3826, 3.3826], [3.3826, 0.0000, 3.3826], [3.3826, 3.3826, 0.0000]],
  "species": ["Ca", "Ca", "Os", "Pt"],
  "frac_coords": [[0.2500, 0.2500, 0.2500], [0.7500, 0.7500, 0.7500], [0.0000, 0.0000, 0.0000], [0.5000, 0.5000, 0.5000]]
}

***

6.
{
  "formula": "CaTlAu2",
  "functional": "PBEsol",
  "state": "optimized geometry",
  "e_form_ev_per_fu": -1.475,
  "spacegroup": "P4mm",
  "total_magnetization_mub_per_fu": 0.0,
  "volume_a3_per_atom": 21.9,
  "lattice": [[3.5970, 0.0000, 0.0000], [0.0000, 3.5970, 0.0000], [0.0000, 0.0000, 6.7574]],
  "species": ["Ca", "Tl", "Au", "Au"],
  "frac_coords": [[0.0000, 0.0000, 0.0000], [0.5000, 0.5000, 0.3229], [0.0000, 0.0000, 0.5495], [0.5000, 0.5000, 0.7647]]
}

***

7.
{
  "formula": "PrTl2InTe4",
  "functional": "PBEsol",
  "state": "optimized geometry",
  "spacegroup": "I-42m",
  "raw_formation_energy_mev_per_atom": -607,
  "total_magnetization_mub_per_fu": 0.0,
  "volume_a3_per_atom": 31.1,
  "lattice": [[-4.0390, 4.0390, 3.8189], [4.0390, -4.0390, 3.8189], [4.0390, 4.0390, -3.8189]],
  "species": ["Pr", "Tl", "Tl", "In", "Te", "Te", "Te", "Te"],
  "frac_coords": [[0.0000, 0.0000, 0.0000], [0.0000, 0.5000, 0.5000], [0.5000, 0.0000, 0.5000], [0.5000, 0.5000, 0.0000], [0.0806, 0.0806, 0.6007], [0.4799, 0.4799, 0.3993], [0.5201, 0.9194, 0.0000], [0.9194, 0.5201, 0.0000]]
}

***

8.
{
  "formula": "TiCoO3",
  "functional": "PBEsol",
  "state": "optimized geometry",
  "spacegroup": "Pm-3m",
  "raw_formation_energy_mev_per_atom": -1462,
  "total_magnetization_mub_per_fu": 3.0,
  "volume_a3_per_atom": 10.9,
  "lattice": [[3.7917, 0.0000, 0.0000], [0.0000, 3.7917, 0.0000], [0.0000, 0.0000, 3.7917]],
  "species": ["Ti", "Co", "O", "O", "O"],
  "frac_coords": [[0.0000, 0.0000, 0.0000], [0.5000, 0.5000, 0.5000], [0.0000, 0.0000, 0.5000], [0.0000, 0.5000, 0.0000], [0.5000, 0.0000, 0.0000]]
}

***

9.
{
  "formula": "InAu4",
  "functional": "PBEsol",
  "state": "optimized geometry",
  "e_form_ev_per_fu": 0.093,
  "spacegroup": "I4/mmm",
  "total_magnetization_mub_per_fu": 0.0,
  "volume_a3_per_atom": 19.8,
  "lattice": [[-1.9006, 1.9006, 6.8610], [1.9006, -1.9006, 6.8610], [1.9006, 1.9006, -6.8610]],
  "species": ["In", "Au", "Au", "Au", "Au"],
  "frac_coords": [[0.0000, 0.0000, 0.0000], [0.2500, 0.7500, 0.5000], [0.4027, 0.4027, 0.0000], [0.5973, 0.5973, 0.0000], [0.7500, 0.2500, 0.5000]]
}

***

10.
{
  "formula": "CrFe2Ag",
  "functional": "PBEsol",
  "state": "optimized geometry",
  "polymorph_energy_mev_per_atom": 32,
  "e_form_ev_per_fu": 1.475,
  "spacegroup": "Pmm2",
  "total_magnetization_mub_per_fu": 2.1,
  "volume_a3_per_atom": 12.5,
  "lattice": [[2.6855, 0.0000, 0.0000], [0.0000, 3.4581, 0.0000], [0.0000, 0.0000, 5.4045]],
  "species": ["Cr", "Fe", "Fe", "Ag"],
  "frac_coords": [[0.0000, 0.0000, 0.0000], [0.0000, 0.0000, 0.4130], [0.5000, 0.5000, 0.1908], [0.5000, 0.5000, 0.6959]]
}

***

11.
{
  "formula": "Ge3BP",
  "functional": "PBEsol",
  "state": "optimized geometry",
  "e_form_ev_per_fu": 7.138,
  "spacegroup": "Pm-3m",
  "total_magnetization_mub_per_fu": 0.0,
  "volume_a3_per_atom": 19.7,
  "lattice": [[4.6156, 0.0000, 0.0000], [0.0000, 4.6156, 0.0000], [0.0000, 0.0000, 4.6156]],
  "species": ["Ge", "Ge", "Ge", "B", "P"],
  "frac_coords": [[0.0000, 0.0000, 0.5000], [0.0000, 0.5000, 0.0000], [0.5000, 0.0000, 0.0000], [0.5000, 0.5000, 0.5000], [0.0000, 0.0000, 0.0000]]
}

***

12.
{
  "formula": "Hf2ZnCo",
  "functional": "PBEsol",
  "state": "optimized geometry",
  "e_form_ev_per_fu": -0.926,
  "spacegroup": "Fm-3m",
  "total_magnetization_mub_per_fu": 0.0,
  "volume_a3_per_atom": 16.2,
  "lattice": [[0.0000, 3.1852, 3.1852], [3.1852, 0.0000, 3.1852], [3.1852, 3.1852, 0.0000]],
  "species": ["Hf", "Hf", "Zn", "Co"],
  "frac_coords": [[0.2500, 0.2500, 0.2500], [0.7500, 0.7500, 0.7500], [0.0000, 0.0000, 0.0000], [0.5000, 0.5000, 0.5000]]
}

***

13.
{
  "formula": "Li3Ag",
  "functional": "PBEsol",
  "state": "optimized geometry",
  "polymorph_energy_mev_per_atom": 19,
  "e_form_ev_per_fu": -0.433,
  "spacegroup": "C2/m",
  "total_magnetization_mub_per_fu": 0.0,
  "volume_a3_per_atom": 16.4,
  "lattice": [[4.6907, -1.4539, 0.0000], [4.6907, 1.4539, 0.0000], [-0.8964, 0.0000, 4.8168]],
  "species": ["Li", "Li", "Li", "Ag"],
  "frac_coords": [[0.0000, 0.0000, 0.0000], [0.2410, 0.2410, 0.7338], [0.7590, 0.7590, 0.2662], [0.5000, 0.5000, 0.5000]]
}

***

14.
{
  "formula": "YZr5",
  "functional": "PBEsol",
  "state": "optimized geometry",
  "e_form_ev_per_fu": 0.267,
  "spacegroup": "Amm2",
  "total_magnetization_mub_per_fu": 0.0,
  "volume_a3_per_atom": 23.4,
  "lattice": [[5.1556, 0.0000, 0.0000], [0.0000, 1.6132, 8.4451], [0.0000, -1.6132, 8.4451]],
  "species": ["Y", "Zr", "Zr", "Zr", "Zr", "Zr"],
  "frac_coords": [[0.0000, 0.0000, 0.0000], [0.0000, 0.3290, 0.3290], [0.0000, 0.6700, 0.6700], [0.5000, 0.2235, 0.2235], [0.5000, 0.5619, 0.5619], [0.5000, 0.8862, 0.8862]]
}